Record 1
An optimized crystal structure of P2PbW. Source: Alexandria, functional PBE-GGA.

a = 4.3022 Å, b = 5.1418 Å, c = 3.2544 Å
α = 90.00°, β = 90.00°, γ = 90.00°
Element x y z (fractional)
P: 0.0000 0.0000 0.0000
P: 0.5000 0.5000 0.0000
Pb: 0.5000 0.0000 0.5000
W: 0.0000 0.5000 0.5000

formation enthalpy at 0 K = 3.54 eV per formula unit
space group = Pmmm

Record 2
An optimized crystal structure of Fe2Re2Ir. Source: Alexandria, functional PBE-GGA.

a = 6.9422 Å, b = 6.9422 Å, c = 2.7339 Å
α = 90.00°, β = 90.00°, γ = 90.00°
Element x y z (fractional)
Re: 0.1726 0.6726 0.5000
Re: 0.6726 0.8274 0.5000
Re: 0.8274 0.3274 0.5000
Re: 0.3274 0.1726 0.5000
Ir: 0.0000 0.0000 0.0000
Ir: 0.5000 0.5000 0.0000
Fe: 0.3766 0.8766 0.0000
Fe: 0.8766 0.6234 0.0000
Fe: 0.6234 0.1234 0.0000
Fe: 0.1234 0.3766 0.0000

formation enthalpy at 0 K = 0.40 eV per formula unit
space group = P4/mbm

Record 3
An optimized crystal structure of Rb2LaPd3F12. Source: Alexandria, functional PBE-GGA.

a = 7.2138 Å, b = 7.2138 Å, c = 7.2138 Å
α = 70.25°, β = 70.25°, γ = 70.25°
Site moments in Bohr magnetons follow the coordinates.
Element x y z (fractional)
Rb: 0.6212 0.6212 0.6212  0.00
Rb: 0.3788 0.3788 0.3788  0.00
La: 0.0000 0.0000 0.0000  0.00
Pd: 0.5000 0.0000 0.0000  0.09
Pd: 0.0000 0.5000 0.0000  0.09
Pd: 0.0000 0.0000 0.5000  0.09
F: 0.2593 0.2593 0.9177  0.01
F: 0.8719 0.8719 0.3773  0.01
F: 0.3773 0.8719 0.8719  0.01
F: 0.9177 0.2593 0.2593  0.01
F: 0.8719 0.3773 0.8719  0.01
F: 0.2593 0.9177 0.2593  0.01
F: 0.7407 0.7407 0.0823  0.01
F: 0.1281 0.1281 0.6227  0.01
F: 0.6227 0.1281 0.1281  0.01
F: 0.0823 0.7407 0.7407  0.01
F: 0.1281 0.6227 0.1281  0.01
F: 0.7407 0.0823 0.7407  0.01

electronic total energy = -4.685 eV/atom
space group = R-3m

Record 4
An optimized crystal structure of Li6Br7. Source: Alexandria, functional PBE-GGA.

a = 11.9485 Å, b = 11.9485 Å, c = 11.9485 Å
α = 34.25°, β = 34.25°, γ = 34.25°
Site moments in Bohr magnetons follow the coordinates.
Element x y z (fractional)
Br: 0.5525 0.0612 0.5525  0.02
Br: 0.5525 0.5525 0.0612  0.02
Br: 0.0612 0.5525 0.5525  0.02
Br: 0.4475 0.9388 0.4475  0.02
Br: 0.9388 0.4475 0.4475  0.02
Br: 0.4475 0.4475 0.9388  0.02
Br: 0.5000 0.5000 0.5000  0.36
Li: 0.0644 0.0644 0.0644  0.00
Li: 0.9356 0.9356 0.9356  0.00
Li: 0.2412 0.2412 0.2412  0.00
Li: 0.7588 0.7588 0.7588  0.00
Li: 0.3317 0.3317 0.3317  0.00
Li: 0.6683 0.6683 0.6683  0.00

electronic total energy = -2.743 eV/atom
space group = R-3m

Record 5
An optimized crystal structure of InMo2Br. Source: Alexandria, functional PBE-GGA.

a = 4.9383 Å, b = 3.4447 Å, c = 5.5815 Å
α = 95.44°, β = 90.00°, γ = 90.00°
Element x y z (fractional)
Mo: 0.0000 0.0541 0.9028
Mo: 0.0000 0.4459 0.5972
Br: 0.5000 0.2500 0.2500
In: 0.5000 0.7500 0.7500

energy relative to the lowest polymorph listed for this composition = 0.350 eV per atom
space group = P2/m

Record 6
An optimized crystal structure of Ba2BeAg. Source: Alexandria, functional PBE-GGA.

a = 5.4623 Å, b = 5.4623 Å, c = 5.4623 Å
α = 60.00°, β = 60.00°, γ = 60.00°
Element x y z (fractional)
Be: 0.7500 0.7500 0.7500
Ba: 0.0000 0.0000 0.0000
Ba: 0.2500 0.2500 0.2500
Ag: 0.5000 0.5000 0.5000

formation enthalpy at 0 K = 1.47 eV per formula unit
space group = F-43m

Number 1: total magnetization 0.001 μB per formula unit. Number 2: total magnetization 0.000 μB per formula unit. Number 3: total magnetization 0.375 μB per formula unit. Number 4: total magnetization 0.706 μB per formula unit. Number 5: total magnetization 0.000 μB per formula unit. Number 6: total magnetization 0.000 μB per formula unit.